w:
SCAN TlAgIr2, PBEsol geometry; size of the total moment = 0.00 μB/atom
1.0
2.7865 0.0000 0.0000
0.0000 3.6468 0.0000
-1.4044 0.0000 7.1118
Tl Ag Ir
1 1 2
direct
0.0000 0.0000 0.0000 Tl
0.6420 0.5000 0.2821 Ag
0.2673 0.0000 0.5301 Ir
0.8462 0.5000 0.6854 Ir

x:
SCAN TlAgIr2, PBEsol geometry; size of the total moment = 0.00 μB/atom
1.0
-2.0275 2.0275 3.9595
2.0275 -2.0275 3.9595
2.0275 2.0275 -3.9595
Tl Ag Ir
1 1 2
direct
0.0000 0.0000 0.0000 Tl
0.5000 0.5000 0.0000 Ag
0.2500 0.7500 0.5000 Ir
0.7500 0.2500 0.5000 Ir

Which structure is most stable? w, by 0.264 eV/atom over the runner-up.